[1]
Computed, not measured: a relaxed In2SbHAu crystal at the PBE-GGA level of DFT.

extended XYZ file:
```
5
Lattice="5.6508 0.0000 0.0000 0.0000 5.6508 0.0000 0.0000 0.0000 3.4881" Properties=species:S:1:pos:R:3 pbc="T T T"
In 0.0000 2.8254 0.0000
In 2.8254 0.0000 0.0000
Sb 0.0000 0.0000 1.7440
H 2.8254 2.8254 1.7440
Au 2.8254 2.8254 0.0000
```

Calculated values
Total magnetic moment   0.00 μB per cell
DOS at the Fermi energy   1.66 states/eV/f.u.
E   -3.196 eV per atom

---

[2]
Computed, not measured: a relaxed Sc2InHAu crystal at the PBE-GGA level of DFT.

extended XYZ file:
```
5
Lattice="4.5370 0.0000 0.0000 0.0000 4.5370 0.0000 0.0000 0.0000 4.1283" Properties=species:S:1:pos:R:3 pbc="T T T"
Sc 0.0000 2.2685 0.0000
Sc 2.2685 0.0000 0.0000
In 0.0000 0.0000 2.0642
H 2.2685 2.2685 0.0000
Au 2.2685 2.2685 2.0642
```

Calculated values
Total magnetic moment   0.77 μB per cell
DOS at the Fermi energy   3.57 states/eV/f.u.
E   -4.875 eV per atom

---

[3]
Computed, not measured: a relaxed In2HAuSe crystal at the PBE-GGA level of DFT.

extended XYZ file:
```
5
Lattice="5.4893 0.0000 0.0000 0.0000 5.4893 0.0000 0.0000 0.0000 3.5861" Properties=species:S:1:pos:R:3 pbc="T T T"
In 0.0000 2.7446 0.0000
In 2.7446 0.0000 0.0000
H 0.0000 0.0000 1.7931
Au 0.0000 0.0000 0.0000
Se 2.7446 2.7446 1.7931
```

Calculated values
Total magnetic moment   0.00 μB per cell
DOS at the Fermi energy   2.67 states/eV/f.u.
E   -3.169 eV per atom

---

[4]
Computed, not measured: a relaxed In2SnHAu crystal at the PBE-GGA level of DFT.

extended XYZ file:
```
5
Lattice="5.6465 0.0000 0.0000 0.0000 5.6465 0.0000 0.0000 0.0000 3.5012" Properties=species:S:1:pos:R:3 pbc="T T T"
In 0.0000 2.8232 0.0000
In 2.8232 0.0000 0.0000
Sn 0.0000 0.0000 1.7506
H 2.8232 2.8232 1.7506
Au 2.8232 2.8232 0.0000
```

Calculated values
Total magnetic moment   0.00 μB per cell
DOS at the Fermi energy   1.49 states/eV/f.u.
E   -3.178 eV per atom

---

[5]
Computed, not measured: a relaxed TlInH2Au crystal at the PBE-GGA level of DFT.

extended XYZ file:
```
5
Lattice="4.0527 0.0000 0.0000 0.0000 4.0527 0.0000 0.0000 0.0000 5.7627" Properties=species:S:1:pos:R:3 pbc="T T T"
Tl 0.0000 0.0000 0.0000
In 2.0264 2.0264 2.8814
H 0.0000 2.0264 2.8814
H 2.0264 0.0000 2.8814
Au 2.0264 2.0264 0.0000
```

Calculated values
Total magnetic moment   0.00 μB per cell
DOS at the Fermi energy   1.06 states/eV/f.u.
E   -2.819 eV per atom

---

[6]
Computed, not measured: a relaxed Tl2InHAu crystal at the PBE-GGA level of DFT.

extended XYZ file:
```
5
Lattice="5.9104 0.0000 0.0000 0.0000 5.9104 0.0000 0.0000 0.0000 3.4545" Properties=species:S:1:pos:R:3 pbc="T T T"
Tl 0.0000 2.9552 0.0000
Tl 2.9552 0.0000 0.0000
In 0.0000 0.0000 1.7273
H 2.9552 2.9552 1.7273
Au 2.9552 2.9552 0.0000
```

Calculated values
Total magnetic moment   0.00 μB per cell
DOS at the Fermi energy   2.26 states/eV/f.u.
E   -2.720 eV per atom

---

[7]
Computed, not measured: a relaxed InHW2Au crystal at the PBE-GGA level of DFT.

extended XYZ file:
```
5
Lattice="3.9466 0.0000 0.0000 0.0000 3.9466 0.0000 0.0000 0.0000 4.7179" Properties=species:S:1:pos:R:3 pbc="T T T"
In 0.0000 0.0000 0.0000
H 0.0000 0.0000 2.3590
W 0.0000 1.9733 2.3590
W 1.9733 0.0000 2.3590
Au 1.9733 1.9733 0.0000
```

Calculated values
Total magnetic moment   0.00 μB per cell
DOS at the Fermi energy   4.77 states/eV/f.u.
E   -6.511 eV per atom

---

[8]
Computed, not measured: a relaxed HIr3Au crystal at the PBE-GGA level of DFT.

extended XYZ file:
```
5
Lattice="4.0018 0.0000 0.0000 0.0000 4.0018 0.0000 0.0000 0.0000 4.0018" Properties=species:S:1:pos:R:3 pbc="T T T"
H 0.0000 0.0000 0.0000
Ir 0.0000 0.0000 2.0009
Ir 0.0000 2.0009 0.0000
Ir 2.0009 0.0000 0.0000
Au 2.0009 2.0009 2.0009
```

Calculated values
Total magnetic moment   0.00 μB per cell
DOS at the Fermi energy   7.00 states/eV/f.u.
E above lowest polymorph   0.0 kJ/mol of atoms

---

> What is the DOS at the Fermi energy in the eighth record?

7.00 states/eV/f.u.